1.
Here is Pm4Bi5O after structural relaxation from Alexandria via LeMat-Bulk. Energies are from PBE-GGA.

Volume, Å³/cell: 607
Total moment, μB per formula unit: 0.000
D(E_F), states/eV per cell: 11.2
Calculated total energy, eV/atom: -5.166
Calculated density, g/cm³: 8.979

abc: 18.4214 3.6253 9.0913
angles: 90.00 91.45 90.00
Space group C2/m (No. 12)
Unique sites:
1 Pm 0.0151 0.0000 0.3170
2 Pm 0.1502 0.5000 0.5685
3 Bi 0.0000 0.5000 0.0000
4 Bi 0.1434 0.0000 0.8831
5 Bi 0.1881 0.0000 0.2766
6 O 0.0000 0.5000 0.5000


2.
Here is Sr2CuNi3Ge4 after structural relaxation from Alexandria via LeMat-Bulk. Energies are from PBE-GGA.

Volume, Å³/cell: 179
Calculated formation energy, eV/atom: -0.4500
Total moment, μB per formula unit: 0.000
D(E_F), states/eV per cell: 3.9
Calculated density, g/cm³: 6.531

abc: 4.2337 4.2337 10.0057
angles: 90.00 90.00 90.00
Space group P-4m2 (No. 115)
Unique sites:
1 Sr 0.0000 0.5000 0.2498
2 Cu 0.0000 0.0000 0.5000
3 Ni 0.0000 0.5000 0.8770
4 Ni 0.5000 0.5000 0.5000
5 Ge 0.0000 0.0000 0.0000
6 Ge 0.0000 0.5000 0.6268
7 Ge 0.5000 0.5000 0.0000